(1)
# BaNpTl2Br8 | Alexandria | PBE | relaxed
data_BaNpTl2Br8
_symmetry_space_group_name_H-M 'P 1'
_symmetry_Int_Tables_number 1
_symmetry_space_group_name_Hall 'P 1'
_cell_length_a 7.403
_cell_length_b 9.442
_cell_length_c 7.451
_cell_angle_alpha 90.00
_cell_angle_beta 91.86
_cell_angle_gamma 90.00
loop_
_atom_site_label
_atom_site_type_symbol
_atom_site_fract_x
_atom_site_fract_y
_atom_site_fract_z
_atom_site_occupancy
Ba1 Ba 0.000 0.000 0.000 1
Np1 Np 0.000 0.500 0.000 1
Tl1 Tl 0.500 0.249 0.500 1
Tl2 Tl 0.500 0.751 0.500 1
Br1 Br 0.196 0.500 0.317 1
Br2 Br 0.224 0.285 0.870 1
Br3 Br 0.224 0.715 0.870 1
Br4 Br 0.260 0.000 0.348 1
Br5 Br 0.740 0.000 0.652 1
Br6 Br 0.776 0.285 0.130 1
Br7 Br 0.776 0.715 0.130 1
Br8 Br 0.804 0.500 0.683 1
# **Energy relative to the elements, uncorrected**: -1.34 eV/atom
# **Symmetry**: P2/m (10)
# **Crystal system**: monoclinic

***

(2)
# KAu | Alexandria | PBE | relaxed
data_KAu
_symmetry_space_group_name_H-M 'P 1'
_symmetry_Int_Tables_number 1
_symmetry_space_group_name_Hall 'P 1'
_cell_length_a 8.911
_cell_length_b 8.911
_cell_length_c 8.911
_cell_angle_alpha 109.47
_cell_angle_beta 109.47
_cell_angle_gamma 109.47
loop_
_atom_site_label
_atom_site_type_symbol
_atom_site_fract_x
_atom_site_fract_y
_atom_site_fract_z
_atom_site_occupancy
K1 K 0.000 0.000 0.679 1
K2 K 0.000 0.679 0.000 1
K3 K 0.321 0.321 0.321 1
K4 K 0.679 0.000 0.000 1
Au1 Au 0.000 0.000 0.317 1
Au2 Au 0.000 0.317 0.000 1
Au3 Au 0.317 0.000 0.000 1
Au4 Au 0.683 0.683 0.683 1
# **Energy of formation**: -0.3 eV per formula unit
# **Symmetry**: I-43m (217)
# **Crystal system**: cubic

***

(3)
# PrTaFe | Alexandria | PBE | relaxed
data_PrTaFe
_symmetry_space_group_name_H-M 'P 1'
_symmetry_Int_Tables_number 1
_symmetry_space_group_name_Hall 'P 1'
_cell_length_a 4.381
_cell_length_b 4.381
_cell_length_c 6.589
_cell_angle_alpha 90.00
_cell_angle_beta 90.00
_cell_angle_gamma 90.00
loop_
_atom_site_label
_atom_site_type_symbol
_atom_site_fract_x
_atom_site_fract_y
_atom_site_fract_z
_atom_site_occupancy
Pr1 Pr 0.250 0.250 0.132 1
Pr2 Pr 0.750 0.750 0.868 1
Ta1 Ta 0.250 0.750 0.500 1
Ta2 Ta 0.750 0.250 0.500 1
Fe1 Fe 0.250 0.250 0.684 1
Fe2 Fe 0.750 0.750 0.316 1
# **Energy of formation**: 0.1 eV per formula unit
# **Symmetry**: P4/nmm (129)
# **Crystal system**: tetragonal

***

(4)
# HfBePt | Alexandria | PBE | relaxed
data_HfBePt
_symmetry_space_group_name_H-M 'P 1'
_symmetry_Int_Tables_number 1
_symmetry_space_group_name_Hall 'P 1'
_cell_length_a 4.117
_cell_length_b 4.117
_cell_length_c 3.169
_cell_angle_alpha 90.00
_cell_angle_beta 90.00
_cell_angle_gamma 120.00
loop_
_atom_site_label
_atom_site_type_symbol
_atom_site_fract_x
_atom_site_fract_y
_atom_site_fract_z
_atom_site_occupancy
Hf1 Hf 0.000 0.000 0.000 1
Be1 Be 0.333 0.667 0.500 1
Pt1 Pt 0.667 0.333 0.500 1
# **Energy of formation**: -2.2 eV per formula unit
# **E above lowest polymorph**: 131 meV/atom
# **Symmetry**: P-6m2 (187)
# **Crystal system**: hexagonal

***

(5)
# NdIn2S4 | Alexandria | PBE | relaxed
data_NdIn2S4
_symmetry_space_group_name_H-M 'P 1'
_symmetry_Int_Tables_number 1
_symmetry_space_group_name_Hall 'P 1'
_cell_length_a 5.978
_cell_length_b 5.978
_cell_length_c 10.226
_cell_angle_alpha 90.00
_cell_angle_beta 90.00
_cell_angle_gamma 110.60
loop_
_atom_site_label
_atom_site_type_symbol
_atom_site_fract_x
_atom_site_fract_y
_atom_site_fract_z
_atom_site_occupancy
Nd1 Nd 0.000 0.000 0.250 1
Nd2 Nd 0.000 0.000 0.750 1
In1 In 0.288 0.687 0.000 1
In2 In 0.313 0.712 0.500 1
In3 In 0.687 0.288 0.500 1
In4 In 0.712 0.313 0.000 1
S1 S 0.000 0.500 0.193 1
S2 S 0.000 0.500 0.807 1
S3 S 0.137 0.259 0.500 1
S4 S 0.259 0.137 0.000 1
S5 S 0.500 0.000 0.307 1
S6 S 0.500 0.000 0.693 1
S7 S 0.741 0.863 0.000 1
S8 S 0.863 0.741 0.500 1
# **Energy relative to the elements, uncorrected**: -0.95 eV/atom
# **Symmetry**: Cccm (66)
# **Crystal system**: orthorhombic

***

(6)
# Tb3Ga9Ir2 | Alexandria | PBE | relaxed
data_Tb3Ga9Ir2
_symmetry_space_group_name_H-M 'P 1'
_symmetry_Int_Tables_number 1
_symmetry_space_group_name_Hall 'P 1'
_cell_length_a 8.124
_cell_length_b 8.124
_cell_length_c 8.124
_cell_angle_alpha 149.47
_cell_angle_beta 108.27
_cell_angle_gamma 79.94
loop_
_atom_site_label
_atom_site_type_symbol
_atom_site_fract_x
_atom_site_fract_y
_atom_site_fract_z
_atom_site_occupancy
Tb1 Tb 0.000 0.000 0.000 1
Tb2 Tb 0.299 0.299 0.000 1
Tb3 Tb 0.701 0.701 0.000 1
Ga1 Ga 0.019 0.655 0.364 1
Ga2 Ga 0.148 0.866 0.282 1
Ga3 Ga 0.291 0.655 0.636 1
Ga4 Ga 0.416 0.134 0.282 1
Ga5 Ga 0.500 0.000 0.500 1
Ga6 Ga 0.584 0.866 0.718 1
Ga7 Ga 0.709 0.345 0.364 1
Ga8 Ga 0.852 0.134 0.718 1
Ga9 Ga 0.981 0.345 0.636 1
Ir1 Ir 0.321 0.500 0.821 1
Ir2 Ir 0.679 0.500 0.179 1
# **Energy of formation**: -8.7 eV per formula unit
# **Symmetry**: Immm (71)
# **Crystal system**: orthorhombic

***

(7)
# Rb11IO5 | Alexandria | PBE | relaxed
data_Rb11IO5
_symmetry_space_group_name_H-M 'P 1'
_symmetry_Int_Tables_number 1
_symmetry_space_group_name_Hall 'P 1'
_cell_length_a 8.937
_cell_length_b 8.937
_cell_length_c 9.220
_cell_angle_alpha 102.27
_cell_angle_beta 102.27
_cell_angle_gamma 111.90
loop_
_atom_site_label
_atom_site_type_symbol
_atom_site_fract_x
_atom_site_fract_y
_atom_site_fract_z
_atom_site_occupancy
Rb1 Rb 0.000 0.000 0.000 1
Rb2 Rb 0.124 0.702 0.144 1
Rb3 Rb 0.168 0.422 0.451 1
Rb4 Rb 0.298 0.876 0.856 1
Rb5 Rb 0.387 0.387 0.170 1
Rb6 Rb 0.422 0.168 0.451 1
Rb7 Rb 0.578 0.832 0.549 1
Rb8 Rb 0.613 0.613 0.830 1
Rb9 Rb 0.702 0.124 0.144 1
Rb10 Rb 0.832 0.578 0.549 1
Rb11 Rb 0.876 0.298 0.856 1
I1 I 0.000 0.000 0.500 1
O1 O 0.062 0.363 0.149 1
O2 O 0.363 0.062 0.149 1
O3 O 0.500 0.500 0.500 1
O4 O 0.637 0.938 0.851 1
O5 O 0.938 0.637 0.851 1
# **Energy relative to the elements, uncorrected**: -0.95 eV/atom
# **Symmetry**: C2/m (12)
# **Crystal system**: monoclinic

***

(8)
# La2TbY | Alexandria | PBE | relaxed
data_La2TbY
_symmetry_space_group_name_H-M 'P 1'
_symmetry_Int_Tables_number 1
_symmetry_space_group_name_Hall 'P 1'
_cell_length_a 5.228
_cell_length_b 5.228
_cell_length_c 5.046
_cell_angle_alpha 90.00
_cell_angle_beta 90.00
_cell_angle_gamma 90.00
loop_
_atom_site_label
_atom_site_type_symbol
_atom_site_fract_x
_atom_site_fract_y
_atom_site_fract_z
_atom_site_occupancy
La1 La 0.000 0.500 0.000 1
La2 La 0.500 0.000 0.000 1
Tb1 Tb 0.000 0.000 0.500 1
Y1 Y 0.500 0.500 0.500 1
# **Energy of formation**: 0.1 eV per formula unit
# **E above lowest polymorph**: 12 meV/atom
# **Symmetry**: P4/mmm (123)
# **Crystal system**: tetragonal

***

(9)
# CaGeSeN2 | Alexandria | PBE | relaxed
data_CaGeSeN2
_symmetry_space_group_name_H-M 'P 1'
_symmetry_Int_Tables_number 1
_symmetry_space_group_name_Hall 'P 1'
_cell_length_a 3.948
_cell_length_b 3.948
_cell_length_c 5.316
_cell_angle_alpha 90.00
_cell_angle_beta 90.00
_cell_angle_gamma 90.00
loop_
_atom_site_label
_atom_site_type_symbol
_atom_site_fract_x
_atom_site_fract_y
_atom_site_fract_z
_atom_site_occupancy
Ca1 Ca 0.000 0.000 0.000 1
Ge1 Ge 0.500 0.500 0.500 1
Se1 Se 0.500 0.500 0.000 1
N1 N 0.000 0.500 0.500 1
N2 N 0.500 0.000 0.500 1
# **E above lowest polymorph**: 0 meV/atom
# **Energy relative to the elements, uncorrected**: 0.31 eV/atom
# **Symmetry**: P4/mmm (123)
# **Crystal system**: tetragonal

***

(10)
# Cd2TcCl | Alexandria | PBE | relaxed
data_Cd2TcCl
_symmetry_space_group_name_H-M 'P 1'
_symmetry_Int_Tables_number 1
_symmetry_space_group_name_Hall 'P 1'
_cell_length_a 3.137
_cell_length_b 3.140
_cell_length_c 8.310
_cell_angle_alpha 90.00
_cell_angle_beta 90.00
_cell_angle_gamma 90.00
loop_
_atom_site_label
_atom_site_type_symbol
_atom_site_fract_x
_atom_site_fract_y
_atom_site_fract_z
_atom_site_occupancy
Cd1 Cd 0.000 0.000 0.226 1
Cd2 Cd 0.000 0.000 0.774 1
Tc1 Tc 0.500 0.500 0.000 1
Cl1 Cl 0.000 0.500 0.500 1
# **E above lowest polymorph**: 13 meV/atom
# **Energy relative to the elements, uncorrected**: 0.13 eV/atom
# **Symmetry**: Pmmm (47)
# **Crystal system**: orthorhombic

***

(11)
# LaY5Er3 | Alexandria | PBE | relaxed
data_LaY5Er3
_symmetry_space_group_name_H-M 'P 1'
_symmetry_Int_Tables_number 1
_symmetry_space_group_name_Hall 'P 1'
_cell_length_a 9.948
_cell_length_b 9.948
_cell_length_c 9.948
_cell_angle_alpha 128.82
_cell_angle_beta 128.82
_cell_angle_gamma 75.30
loop_
_atom_site_label
_atom_site_type_symbol
_atom_site_fract_x
_atom_site_fract_y
_atom_site_fract_z
_atom_site_occupancy
La1 La 0.250 0.750 0.500 1
La2 La 0.750 0.250 0.500 1
Y1 Y 0.000 0.000 0.000 1
Y2 Y 0.062 0.562 0.896 1
Y3 Y 0.166 0.062 0.500 1
Y4 Y 0.334 0.834 0.896 1
Y5 Y 0.438 0.334 0.500 1
Y6 Y 0.500 0.500 0.000 1
Y7 Y 0.562 0.666 0.500 1
Y8 Y 0.666 0.166 0.104 1
Y9 Y 0.834 0.938 0.500 1
Y10 Y 0.938 0.438 0.104 1
Er1 Er 0.120 0.380 0.500 1
Er2 Er 0.250 0.250 0.000 1
Er3 Er 0.380 0.880 0.259 1
Er4 Er 0.620 0.120 0.741 1
Er5 Er 0.750 0.750 0.000 1
Er6 Er 0.880 0.620 0.500 1
# **Energy of formation**: 2.4 eV per formula unit
# **E above lowest polymorph**: 0 meV/atom
# **Symmetry**: I4/mcm (140)
# **Crystal system**: tetragonal

***

How do the records compare in uncorrected energy? In the order shown, they have -49.0; -18.6; -50.0; -21.9; -66.8; -67.6; -53.2; -20.9; -25.2; -13.5; -97.1 eV for the cell shown.